(1)
PmAgPd after structural relaxation. Source: Alexandria, functional PBE.

Volume in A^3/atom: 24.9
Crystal system: cubic
Magnetization in μB/cell: 0.00
Energy relative to the elements in eV/atom: -0.440
Final energy in eV/atom: -4.70
Excess energy over the best structure of this formula in the dataset in meV/atom: 114

a = 4.730 Å, b = 4.730 Å, c = 4.730 Å
α = 60.00°, β = 60.00°, γ = 60.00°
Fractional positions:
Ag (0.500, 0.500, 0.500)
Pm (0.000, 0.000, 0.000)
Pd (0.250, 0.250, 0.250)

---

(2)
Pm3Ag3Pd after structural relaxation. Source: Alexandria, functional PBE.

Volume in A^3/atom: 25.2
Crystal system: orthorhombic
Magnetization in μB/cell: 0.00
Energy relative to the elements in eV/atom: -0.372
Final energy in eV/atom: -4.37

a = 4.736 Å, b = 3.768 Å, c = 10.332 Å
α = 100.51°, β = 103.25°, γ = 90.00°
Fractional positions:
Ag (0.146, 0.646, 0.293)
Ag (0.854, 0.354, 0.709)
Ag (0.566, 0.566, 0.133)
Pm (0.319, 0.819, 0.639)
Pm (0.690, 0.190, 0.381)
Pm (0.992, 0.992, 0.984)
Pd (0.431, 0.431, 0.863)